No. 1
This record from the Open Quantum Materials Database describes an optimized crystal structure of Nb2FeN. The functional is PBE-GGA.

Results
total energy	-9.649	eV per atom
spin magnetization	0.008	μB/atom
calculated volume	12.96	Å³ per atom

Unit cell a=9.088 b=5.214 c=13.482 alpha=90.00 beta=103.12 gamma=90.00
Space group C2/c (No. 15)
One atom of each set of equivalent atoms:
Nb: 0.037 0.083 0.369 [8 per cell]
Nb: 0.113 0.411 0.593 [8 per cell]
Nb: 0.221 0.416 0.907 [8 per cell]
Fe: 0.000 0.396 0.750 [4 per cell]
Fe: 0.240 0.326 0.249 [8 per cell]
N: 0.077 0.229 0.000 [8 per cell]
N: 0.250 0.250 0.500 [4 per cell]



No. 2
This record from the Open Quantum Materials Database describes an optimized crystal structure of YErFe. The functional is PBE-GGA.

Results
formation enthalpy at 0 K	0.21	eV per atom
spin magnetization	0.045	μB/atom
calculated volume	23.82	Å³ per atom

Unit cell a=6.587 b=6.587 c=6.587 alpha=90.00 beta=90.00 gamma=90.00
Space group F-43m (No. 216)
One atom of each set of equivalent atoms:
Y: 0.000 0.000 0.000 [4 per cell]
Er: 0.000 0.000 0.500 [4 per cell]
Fe: 0.250 0.250 0.750 [4 per cell]



No. 3
This record from the Open Quantum Materials Database describes an optimized crystal structure of ScRe2. The functional is PBE-GGA.

Results
formation enthalpy at 0 K	4.25	eV per atom
spin magnetization	2.333	μB/atom
calculated volume	67.80	Å³ per atom

Unit cell a=11.762 b=11.762 c=11.762 alpha=90.00 beta=90.00 gamma=90.00
Space group Fd-3m (No. 227, origin choice 2)
One atom of each set of equivalent atoms:
Sc: 0.125 0.125 0.125 [8 per cell]
Re: 0.000 0.000 0.000 [16 per cell]



No. 4
This record from the Open Quantum Materials Database describes an optimized crystal structure of Li2HfS3. The functional is PBE-GGA.

Results
total energy	-5.807	eV per atom
spin magnetization	0.000	μB/atom
calculated volume	19.46	Å³ per atom

Unit cell a=12.241 b=3.671 c=10.394 alpha=90.00 beta=90.00 gamma=90.00
Space group Pnma (No. 62)
One atom of each set of equivalent atoms:
Li: 0.020 0.250 0.086 [4 per cell]
Li: 0.231 0.750 0.922 [4 per cell]
Hf: 0.001 0.750 0.338 [4 per cell]
S: 0.099 0.250 0.873 [4 per cell]
S: 0.117 0.750 0.555 [4 per cell]
S: 0.128 0.250 0.265 [4 per cell]